No. 1
Density functional theory data (GGA-PBE) for a relaxed structure of AsPb2.

The structure in POSCAR format:
```
AsPb2
1.0
4.197 0.000 0.000
0.000 6.007 0.000
0.000 0.000 7.620
Pb As
4 2
Cartesian
0.000 1.211 4.911
2.098 1.792 1.101
2.098 4.214 6.518
0.000 4.796 2.708
2.098 3.003 3.810
0.000 0.000 0.000
```

Computed properties:
formation energy from the elements = 8.5 kJ per mole of atoms
Fermi-level density of states = 3.0 states/eV/cell
polymorph energy (0 for the lowest one) = 8.29 kJ/mol of atoms
space group = Pnnm (58)


No. 2
Density functional theory data (GGA-PBE) for a relaxed structure of NaCa2MoN4.

The structure in POSCAR format:
```
NaCa2MoN4
1.0
-4.552 -0.942 2.578
3.256 -0.800 5.457
-0.722 7.796 1.574
Ca N Mo Na
4 8 2 2
Cartesian
-2.331 0.448 6.630
-1.289 1.301 3.303
-2.700 4.427 7.433
-1.642 5.118 4.074
-1.548 2.441 7.457
-1.265 -1.578 7.236
-0.202 4.531 5.886
-3.711 5.102 5.378
-1.005 -0.471 1.871
-1.910 3.420 2.445
0.089 1.389 5.252
-3.280 0.449 4.438
0.577 -0.147 0.992
0.019 2.769 6.554
-4.180 2.849 4.227
0.574 -1.097 5.698
```

Computed properties:
Fermi-level density of states = 9.3 states/eV/cell
uncorrected formation energy = -617 meV/atom
space group = Pmn2_1 (31)


No. 3
Density functional theory data (GGA-PBE) for a relaxed structure of Ca5AlTl6.

The structure in POSCAR format:
```
Ca5AlTl6
1.0
5.296 0.004 -1.479
-3.932 7.537 -3.891
-0.247 -1.091 9.282
Tl Ca Al
6 5 1
Cartesian
2.902 1.459 0.144
-0.313 2.844 -1.166
0.843 0.136 2.969
0.274 6.314 0.943
-1.784 4.991 3.768
1.431 3.606 5.077
-1.484 1.807 4.858
0.559 3.225 1.956
-2.694 4.640 0.533
-0.637 6.026 -2.320
1.755 0.424 6.232
0.000 0.000 0.000
```

Computed properties:
formation energy from the elements = -31.2 kJ per mole of atoms
Fermi-level density of states = 5.4 states/eV/cell
space group = C2/m (12)


No. 4
Density functional theory data (GGA-PBE) for a relaxed structure of Al4C5.

The structure in POSCAR format:
```
Al4C5
1.0
5.821 0.000 0.000
-2.910 5.041 0.000
0.000 0.000 6.510
C Al
10 8
Cartesian
2.910 1.680 3.255
0.471 0.817 1.627
0.943 0.000 4.882
-2.439 4.224 1.627
0.000 3.361 3.255
4.878 0.000 1.627
2.910 1.680 0.000
0.000 3.361 0.000
-0.471 0.817 4.882
2.439 4.224 4.882
2.904 0.000 4.882
0.000 0.000 0.000
1.452 2.515 1.627
-1.458 2.526 1.627
1.458 2.526 4.882
0.000 0.000 3.255
-1.452 2.515 4.882
2.917 0.000 1.627
```

Computed properties:
formation energy from the elements = 112.1 kJ per mole of atoms
Fermi-level density of states = 9.6 states/eV/cell
polymorph energy (0 for the lowest one) = 32.19 kJ/mol of atoms
space group = P6_3/mcm (193)


No. 5
Density functional theory data (GGA-PBE) for a relaxed structure of Nd4ErHg.

The structure in POSCAR format:
```
Nd4ErHg
1.0
-3.230 1.650 0.707
-1.675 -3.293 0.033
2.469 -1.117 13.879
Nd Hg Er
4 1 1
Cartesian
0.876 -0.396 4.927
-2.022 -1.016 2.791
-3.313 -2.363 9.692
-0.414 -1.743 11.828
-1.218 -1.380 7.310
0.000 0.000 0.000
```

Computed properties:
formation energy from the elements = -13.9 kJ per mole of atoms
Fermi-level density of states = 7.8 states/eV/cell
polymorph energy (0 for the lowest one) = 0.00 kJ/mol of atoms
space group = P4/mmm (123)


No. 6
Density functional theory data (GGA-PBE) for a relaxed structure of MnHW3.

The structure in POSCAR format:
```
MnHW3
1.0
-3.060 2.628 -1.930
1.835 -0.801 -3.998
-2.696 -3.528 -0.531
W H Mn
3 1 1
Cartesian
-1.530 1.314 -0.965
-1.348 -1.764 -0.265
0.917 -0.400 -1.999
-1.960 -0.850 -3.230
0.000 0.000 0.000
```

Computed properties:
Fermi-level density of states = 5.3 states/eV/cell
polymorph energy (0 for the lowest one) = 170.46 kJ/mol of atoms
space group = Pm-3m (221)


No. 7
Density functional theory data (GGA-PBE) for a relaxed structure of VBi2Se2.

The structure in POSCAR format:
```
VBi2Se2
1.0
-5.161 2.686 -3.285
0.211 -5.004 -4.422
-3.787 -3.145 3.378
Bi V Se
4 2 4
Cartesian
-5.458 -0.691 -1.486
-2.856 -2.545 -0.296
-3.279 -4.773 -2.843
-5.881 -2.918 -4.033
-2.475 -1.159 -3.854
0.000 0.000 0.000
-1.542 -3.274 -4.776
-4.157 -1.102 -5.686
-3.408 0.955 -2.931
-0.793 -1.216 -2.021
```

Computed properties:
Fermi-level density of states = 8.9 states/eV/cell
uncorrected formation energy = -93 meV/atom
polymorph energy (0 for the lowest one) = 0.00 kJ/mol of atoms
space group = P4/mbm (127)


No. 8
Density functional theory data (GGA-PBE) for a relaxed structure of Na2CrGa.

The structure in POSCAR format:
```
Na2CrGa
1.0
-0.972 -7.551 -3.653
7.581 -2.365 2.870
2.148 -5.907 1.880
Na Ga Cr
4 2 2
Cartesian
3.962 -8.109 1.068
5.170 -3.772 1.869
0.861 -6.618 -1.515
7.521 -13.146 0.774
0.000 0.000 0.000
2.240 -9.208 -1.082
3.304 -4.958 -0.391
6.516 -6.615 2.180
```

Computed properties:
formation energy from the elements = 54.7 kJ per mole of atoms
Fermi-level density of states = 5.7 states/eV/cell
space group = I-42d (122)


No. 9
Density functional theory data (GGA-PBE) for a relaxed structure of CaVS2N.

The structure in POSCAR format:
```
CaVS2N
1.0
5.228 0.000 0.000
0.000 5.228 0.000
0.000 0.000 4.345
S N Ca V
2 1 1 1
Cartesian
2.614 0.000 0.000
0.000 2.614 0.000
0.000 0.000 2.172
0.000 0.000 0.000
2.614 2.614 2.172
```

Computed properties:
Fermi-level density of states = 5.0 states/eV/cell
uncorrected formation energy = 869 meV/atom
polymorph energy (0 for the lowest one) = 170.18 kJ/mol of atoms
space group = P4/mmm (123)


No. 10
Density functional theory data (GGA-PBE) for a relaxed structure of Ho8Er2Tl.

The structure in POSCAR format:
```
Ho8Er2Tl
1.0
-2.510 -3.515 -2.325
1.480 -1.425 5.730
-10.244 3.025 6.485
Ho Tl Er
8 1 2
Cartesian
-4.928 -1.243 2.024
-2.042 -3.154 1.799
-5.731 -2.694 5.085
-1.805 0.295 1.503
-6.345 -0.672 7.865
-9.468 -2.210 8.387
-9.232 1.239 8.091
-5.542 0.779 4.805
-1.255 -1.757 -1.163
-8.682 -0.724 5.292
-2.591 -1.191 4.598
```

Computed properties:
formation energy from the elements = -2.9 kJ per mole of atoms
Fermi-level density of states = 14.8 states/eV/cell
polymorph energy (0 for the lowest one) = 0.00 kJ/mol of atoms
space group = C2/m (12)


No. 11
Density functional theory data (GGA-PBE) for a relaxed structure of Sr2GaS.

The structure in POSCAR format:
```
Sr2GaS
1.0
-1.402 1.067 5.125
-2.819 4.481 1.162
-5.186 -0.381 1.526
Ga Sr S
1 2 1
Cartesian
-4.704 2.583 3.907
-2.352 1.292 1.953
-7.055 3.875 5.860
0.000 0.000 0.000
```

Computed properties:
Fermi-level density of states = 5.3 states/eV/cell
uncorrected formation energy = -680 meV/atom
polymorph energy (0 for the lowest one) = 15.57 kJ/mol of atoms
space group = Fm-3m (225)


No. 12
Density functional theory data (GGA-PBE) for a relaxed structure of Ce2HoWN5.

The structure in POSCAR format:
```
Ce2HoWN5
1.0
5.859 0.000 0.000
0.000 6.633 0.000
0.000 0.000 6.633
W N Ce Ho
2 10 4 2
Cartesian
0.000 3.317 0.000
0.000 0.000 3.317
4.488 0.984 4.301
1.371 0.984 4.301
1.371 2.332 0.984
4.488 4.301 5.649
2.929 3.317 3.317
2.929 0.000 0.000
1.371 5.649 2.332
4.488 2.332 0.984
1.371 4.301 5.649
4.488 5.649 2.332
2.929 5.510 4.440
2.929 2.193 5.510
2.929 4.440 1.123
2.929 1.123 2.193
0.000 3.317 3.317
0.000 0.000 0.000
```

Computed properties:
uncorrected formation energy = -964 meV/atom
space group = P4/mbm (127)


No. 13
Density functional theory data (GGA-PBE) for a relaxed structure of Sr3TaC.

The structure in POSCAR format:
```
Sr3TaC
1.0
5.423 0.000 0.000
0.000 5.423 0.000
0.000 0.000 5.423
Sr Ta C
3 1 1
Cartesian
0.000 0.000 2.712
0.000 2.712 0.000
2.712 0.000 0.000
2.712 2.712 2.712
0.000 0.000 0.000
```

Computed properties:
formation energy from the elements = 110.7 kJ per mole of atoms
Fermi-level density of states = 7.0 states/eV/cell
polymorph energy (0 for the lowest one) = 0.00 kJ/mol of atoms
space group = Pm-3m (221)


No. 14
Density functional theory data (GGA-PBE) for a relaxed structure of Rb3Hg4Sb4.

The structure in POSCAR format:
```
Rb3Hg4Sb4
1.0
5.181 0.000 0.000
0.000 5.504 0.000
-2.591 -2.752 14.048
Rb Sb Hg
3 4 4
Cartesian
2.591 0.000 4.235
0.000 0.000 0.000
0.000 2.752 9.813
0.000 2.752 5.594
2.591 0.000 8.454
0.000 0.000 12.595
2.591 2.752 1.453
0.000 2.752 2.726
2.591 0.000 11.322
2.591 2.752 7.073
0.000 0.000 6.975
```

Computed properties:
Fermi-level density of states = 3.1 states/eV/cell
uncorrected formation energy = -250 meV/atom
space group = Immm (71)


No. 15
Density functional theory data (GGA-PBE) for a relaxed structure of CeYNiIr.

The structure in POSCAR format:
```
CeYNiIr
1.0
3.728 0.000 0.000
0.000 4.467 0.000
-1.864 0.000 5.063
Y Ce Ir Ni
1 1 1 1
Cartesian
0.000 0.000 1.410
1.864 2.234 3.656
1.864 2.234 0.822
0.000 0.000 4.239
```

Computed properties:
formation energy from the elements = -58.3 kJ per mole of atoms
Fermi-level density of states = 4.7 states/eV/cell
polymorph energy (0 for the lowest one) = 0.00 kJ/mol of atoms
space group = Amm2 (38)


No. 16
Density functional theory data (GGA-PBE) for a relaxed structure of InGa6Ag2.

The structure in POSCAR format:
```
InGa6Ag2
1.0
-4.528 1.936 -2.298
0.720 -6.158 -0.182
-2.362 1.117 5.596
Ga Ag In
6 2 1
Cartesian
-2.511 -1.595 0.368
-3.659 -1.510 2.749
-4.625 2.031 1.051
-2.265 1.022 2.248
-1.411 -2.471 3.889
-4.759 -0.634 -0.772
-4.679 0.937 3.584
-1.492 -4.042 -0.467
0.000 0.000 0.000
```

Computed properties:
formation energy from the elements = 3.5 kJ per mole of atoms
Fermi-level density of states = 1.9 states/eV/cell
polymorph energy (0 for the lowest one) = 0.00 kJ/mol of atoms
space group = C2/m (12)


No. 17
Density functional theory data (GGA-PBE) for a relaxed structure of Mg3TiFe.

The structure in POSCAR format:
```
Mg3TiFe
1.0
5.180 0.000 0.000
0.000 5.180 0.000
0.000 0.000 5.180
Mg Ti Fe
3 1 1
Cartesian
2.590 0.000 0.000
0.000 0.000 2.590
0.000 2.590 0.000
0.000 0.000 0.000
2.590 2.590 2.590
```

Computed properties:
formation energy from the elements = 144.1 kJ per mole of atoms
Fermi-level density of states = 5.7 states/eV/cell
polymorph energy (0 for the lowest one) = 65.54 kJ/mol of atoms
space group = Pm-3m (221)


No. 18
Density functional theory data (GGA-PBE) for a relaxed structure of PmY6Ho2Th3.

The structure in POSCAR format:
```
PmY6Ho2Th3
1.0
6.203 -0.001 0.003
-3.101 5.373 0.003
-1.042 -1.804 11.586
Pm Y Th Ho
1 6 3 2
Cartesian
0.000 0.000 0.000
2.065 3.576 2.949
-1.036 1.790 2.946
3.097 1.778 8.645
-0.005 -0.008 8.643
2.068 -0.003 2.946
-0.008 3.571 8.645
-2.073 3.576 5.796
4.134 -0.009 5.796
1.030 1.784 5.796
0.000 3.582 0.003
3.103 1.790 0.003
```

Computed properties:
formation energy from the elements = 2.3 kJ per mole of atoms
Fermi-level density of states = 18.0 states/eV/cell
space group = C2/m (12)


No. 19
Density functional theory data (GGA-PBE) for a relaxed structure of TaTiFe.

The structure in POSCAR format:
```
TaTiFe
1.0
-2.288 1.218 1.280
0.881 -2.052 3.527
2.394 3.181 1.253
Ta Fe Ti
1 1 1
Cartesian
1.638 0.564 2.390
0.053 2.199 1.267
0.000 0.000 0.000
```

Computed properties:
formation energy from the elements = 20.0 kJ per mole of atoms
Fermi-level density of states = 2.9 states/eV/cell
polymorph energy (0 for the lowest one) = 26.09 kJ/mol of atoms
space group = Pmmm (47)


No. 20
Density functional theory data (GGA-PBE) for a relaxed structure of Tm2ThFe.

The structure in POSCAR format:
```
Tm2ThFe
1.0
3.345 0.000 0.000
0.000 3.345 0.000
0.000 0.000 8.760
Tm Fe Th
2 1 1
Cartesian
0.000 0.000 1.572
0.000 0.000 7.188
1.673 1.673 0.000
1.673 1.673 4.380
```

Computed properties:
formation energy from the elements = 6.8 kJ per mole of atoms
Fermi-level density of states = 5.0 states/eV/cell
polymorph energy (0 for the lowest one) = 18.32 kJ/mol of atoms
space group = P4/mmm (123)


no.,total magnetic moment (μB per formula unit)
1,0.0
2,1.0
3,0.0
4,0.0
5,0.0
6,0.0
7,2.1
8,4.6
9,4.9
10,0.0
11,0.0
12,0.0
13,4.6
14,0.0
15,0.0
16,0.0
17,6.0
18,0.0
19,0.0
20,0.0